(1)
GGA-PBE CdP2H2, optimized geometry; electronic total energy = -37.5 eV/cell
1.0
6.324 0.000 0.000
0.000 6.303 0.000
-3.090 0.000 4.727
Cd P H
2 4 4
direct
0.000 0.000 0.000 Cd
0.500 0.500 0.000 Cd
0.074 0.301 0.728 P
0.426 0.801 0.272 P
0.574 0.801 0.728 P
0.926 0.301 0.272 P
0.082 0.466 0.272 H
0.418 0.966 0.728 H
0.582 0.966 0.272 H
0.918 0.466 0.728 H


(2)
GGA-PBE CdP2H2, optimized geometry; electronic total energy = -36.4 eV/cell
1.0
5.566 0.000 0.000
0.000 5.446 0.000
-2.284 0.000 5.208
Cd P H
2 4 4
direct
0.000 0.000 0.000 Cd
0.500 0.500 0.000 Cd
0.023 0.500 0.082 P
0.124 0.500 0.498 P
0.523 0.000 0.082 P
0.624 0.000 0.498 P
0.462 0.194 0.525 H
0.462 0.806 0.525 H
0.962 0.306 0.525 H
0.962 0.694 0.525 H


(3)
GGA-PBE Cd2PHPd6, optimized geometry; electronic total energy = -45.5 eV/cell
1.0
5.845 0.000 0.000
2.655 5.227 0.000
2.613 1.656 5.054
Cd P H Pd
2 1 1 6
direct
0.249 0.243 0.239 Cd
0.751 0.757 0.761 Cd
0.000 0.000 0.000 P
0.500 0.500 0.500 H
0.233 0.291 0.722 Pd
0.266 0.773 0.704 Pd
0.295 0.721 0.233 Pd
0.705 0.279 0.767 Pd
0.734 0.227 0.296 Pd
0.767 0.709 0.278 Pd


(4)
GGA-PBE Cd2PHPt6, optimized geometry; electronic total energy = -49.7 eV/cell
1.0
5.629 0.000 0.000
-2.790 4.897 0.000
-1.408 -2.430 5.808
Cd P H Pt
2 1 1 6
direct
0.000 0.000 0.000 Cd
0.439 0.121 0.558 Cd
0.262 0.591 0.859 P
0.666 0.342 0.010 H
0.072 0.573 0.149 Pt
0.457 0.629 0.575 Pt
0.574 0.073 0.147 Pt
0.578 0.584 0.166 Pt
0.946 0.119 0.572 Pt
0.949 0.624 0.572 Pt


(5)
GGA-PBE CdSn2PH, optimized geometry; electronic total energy = -15.9 eV/cell
1.0
5.230 0.000 0.000
0.000 5.230 0.000
0.000 0.000 3.594
Cd Sn P H
1 2 1 1
direct
0.000 0.000 0.000 Cd
0.000 0.500 0.500 Sn
0.500 0.000 0.500 Sn
0.500 0.500 0.000 P
0.500 0.500 0.500 H


(6)
GGA-PBE CdSn2PH, optimized geometry; electronic total energy = -12.0 eV/cell
1.0
5.653 0.000 0.000
0.000 5.653 0.000
0.000 0.000 4.812
Cd Sn P H
1 2 1 1
direct
0.000 0.000 0.000 Cd
0.000 0.500 0.000 Sn
0.500 0.000 0.000 Sn
0.000 0.000 0.500 P
0.500 0.500 0.500 H


(7)
GGA-PBE SrCdPH, optimized geometry; electronic total energy = -27.6 eV/cell
1.0
4.362 0.000 0.000
-2.181 3.777 0.000
0.000 0.000 10.255
Sr Cd P H
2 2 2 2
direct
0.333 0.667 0.000 Sr
0.667 0.333 0.500 Sr
0.000 0.000 0.249 Cd
0.000 0.000 0.749 Cd
0.333 0.667 0.321 P
0.667 0.333 0.821 P
0.000 0.000 0.063 H
0.000 0.000 0.563 H


(8)
GGA-PBE Ta2CdPH, optimized geometry; electronic total energy = -30.8 eV/cell
1.0
4.988 0.000 0.000
0.000 4.988 0.000
0.000 0.000 3.176
Ta Cd P H
2 1 1 1
direct
0.000 0.500 0.000 Ta
0.500 0.000 0.000 Ta
0.000 0.000 0.500 Cd
0.500 0.500 0.000 P
0.500 0.500 0.500 H


(9)
GGA-PBE Pa2CdH8, optimized geometry; electronic total energy = -48.8 eV/cell
1.0
-1.916 2.346 5.763
1.916 -2.346 5.763
1.916 2.346 -5.763
Pa Cd H
2 1 8
direct
0.168 0.168 0.000 Pa
0.832 0.832 0.000 Pa
0.500 0.500 0.000 Cd
0.074 0.333 0.742 H
0.225 0.000 0.225 H
0.313 0.813 0.500 H
0.409 0.667 0.742 H
0.591 0.333 0.258 H
0.687 0.187 0.500 H
0.775 0.000 0.775 H
0.926 0.667 0.258 H


(10)
GGA-PBE Pa2CdH, optimized geometry; electronic total energy = -70.4 eV/cell
1.0
3.181 0.000 0.000
-1.590 2.755 0.000
0.000 0.000 26.528
Pa Cd H
6 3 3
direct
0.000 0.000 0.226 Pa
0.000 0.000 0.774 Pa
0.333 0.667 0.441 Pa
0.333 0.667 0.893 Pa
0.667 0.333 0.107 Pa
0.667 0.333 0.559 Pa
0.000 0.000 0.000 Cd
0.333 0.667 0.667 Cd
0.667 0.333 0.333 Cd
0.000 0.000 0.500 H
0.333 0.667 0.167 H
0.667 0.333 0.833 H


(11)
GGA-PBE Pa3CdH, optimized geometry; electronic total energy = -32.4 eV/cell
1.0
4.688 0.000 0.000
0.000 4.688 0.000
0.000 0.000 4.688
Pa Cd H
3 1 1
direct
0.000 0.000 0.500 Pa
0.000 0.500 0.000 Pa
0.500 0.000 0.000 Pa
0.500 0.500 0.500 Cd
0.000 0.000 0.000 H


(12)
GGA-PBE Pa3Cd5H12, optimized geometry; electronic total energy = -289.8 eV/cell
1.0
-6.320 6.320 6.320
6.320 -6.320 6.320
6.320 6.320 -6.320
Pa Cd H
12 20 48
direct
0.125 0.250 0.375 Pa
0.125 0.375 0.750 Pa
0.250 0.375 0.125 Pa
0.250 0.875 0.625 Pa
0.375 0.125 0.250 Pa
0.375 0.750 0.125 Pa
0.625 0.250 0.875 Pa
0.625 0.875 0.750 Pa
0.750 0.125 0.375 Pa
0.750 0.625 0.875 Pa
0.875 0.625 0.250 Pa
0.875 0.750 0.625 Pa
0.000 0.000 0.000 Cd
0.000 0.000 0.500 Cd
0.000 0.500 0.000 Cd
0.000 0.500 0.500 Cd
0.125 0.750 0.875 Cd
0.125 0.875 0.250 Cd
0.250 0.125 0.875 Cd
0.250 0.625 0.375 Cd
0.375 0.250 0.625 Cd
0.375 0.625 0.750 Cd
0.500 0.000 0.000 Cd
0.500 0.000 0.500 Cd
0.500 0.500 0.000 Cd
0.500 0.500 0.500 Cd
0.625 0.375 0.250 Cd
0.625 0.750 0.375 Cd
0.750 0.375 0.625 Cd
0.750 0.875 0.125 Cd
0.875 0.125 0.750 Cd
0.875 0.250 0.125 Cd
0.081 0.664 0.419 H
0.081 0.744 0.662 H
0.081 0.836 0.419 H
0.081 0.917 0.662 H
0.083 0.244 0.164 H
0.083 0.338 0.919 H
0.162 0.244 0.581 H
0.162 0.417 0.581 H
0.164 0.083 0.244 H
0.164 0.581 0.919 H
0.244 0.164 0.083 H
0.244 0.581 0.162 H
0.256 0.338 0.919 H
0.256 0.417 0.336 H
0.336 0.256 0.417 H
0.336 0.581 0.919 H
0.338 0.919 0.083 H
0.338 0.919 0.256 H
0.417 0.336 0.256 H
0.417 0.581 0.162 H
0.419 0.081 0.664 H
0.419 0.081 0.836 H
0.419 0.838 0.583 H
0.419 0.838 0.756 H
0.581 0.162 0.244 H
0.581 0.162 0.417 H
0.581 0.919 0.164 H
0.581 0.919 0.336 H
0.583 0.419 0.838 H
0.583 0.664 0.744 H
0.662 0.081 0.744 H
0.662 0.081 0.917 H
0.664 0.419 0.081 H
0.664 0.744 0.583 H
0.744 0.583 0.664 H
0.744 0.662 0.081 H
0.756 0.419 0.838 H
0.756 0.836 0.917 H
0.836 0.419 0.081 H
0.836 0.917 0.756 H
0.838 0.583 0.419 H
0.838 0.756 0.419 H
0.917 0.662 0.081 H
0.917 0.756 0.836 H
0.919 0.083 0.338 H
0.919 0.164 0.581 H
0.919 0.256 0.338 H
0.919 0.336 0.581 H


(13)
GGA-PBE PaCdH6Rh, optimized geometry; electronic total energy = -38.1 eV/cell
1.0
4.600 0.000 0.000
-2.300 3.984 0.000
0.000 0.000 4.479
Pa Cd H Rh
1 1 6 1
direct
0.000 0.000 0.000 Pa
0.333 0.667 0.500 Cd
0.519 0.038 0.184 H
0.519 0.038 0.816 H
0.519 0.481 0.184 H
0.519 0.481 0.816 H
0.962 0.481 0.184 H
0.962 0.481 0.816 H
0.667 0.333 0.500 Rh


(14)
GGA-PBE PaCdH8Ru2, optimized geometry; electronic total energy = -56.6 eV/cell
1.0
4.141 -2.209 0.000
4.141 2.209 0.000
-2.429 0.000 5.692
Pa Cd H Ru
1 1 8 2
direct
0.000 0.000 0.000 Pa
0.500 0.500 0.500 Cd
0.059 0.556 0.158 H
0.204 0.204 0.381 H
0.438 0.438 0.847 H
0.444 0.941 0.842 H
0.556 0.059 0.158 H
0.562 0.562 0.153 H
0.796 0.796 0.619 H
0.941 0.444 0.842 H
0.224 0.224 0.663 Ru
0.776 0.776 0.337 Ru


(15)
GGA-PBE CdHPb, optimized geometry; electronic total energy = -15.2 eV/cell
1.0
3.293 0.000 0.000
-0.004 4.791 0.000
-1.498 -2.354 8.350
Cd H Pb
2 2 2
direct
0.220 0.216 0.432 Cd
0.780 0.784 0.568 Cd
0.480 0.002 0.957 H
0.520 0.998 0.043 H
0.105 0.602 0.204 Pb
0.895 0.398 0.796 Pb


(16)
GGA-PBE Cd2H2Pb, optimized geometry; electronic total energy = -21.2 eV/cell
1.0
3.548 0.000 0.000
0.000 3.548 0.000
0.000 0.000 13.994
Cd H Pb
4 4 2
direct
0.000 0.000 0.160 Cd
0.000 0.000 0.840 Cd
0.500 0.500 0.340 Cd
0.500 0.500 0.660 Cd
0.000 0.500 0.250 H
0.000 0.500 0.750 H
0.500 0.000 0.250 H
0.500 0.000 0.750 H
0.000 0.000 0.500 Pb
0.500 0.500 0.000 Pb


(17)
GGA-PBE Cd2HPb, optimized geometry; electronic total energy = -27.1 eV/cell
1.0
7.067 0.000 0.000
0.000 7.067 0.000
0.000 0.000 7.067
Cd H Pb
8 4 4
direct
0.250 0.250 0.250 Cd
0.250 0.250 0.750 Cd
0.250 0.750 0.250 Cd
0.250 0.750 0.750 Cd
0.750 0.250 0.250 Cd
0.750 0.250 0.750 Cd
0.750 0.750 0.250 Cd
0.750 0.750 0.750 Cd
0.000 0.000 0.000 H
0.000 0.500 0.500 H
0.500 0.000 0.500 H
0.500 0.500 0.000 H
0.000 0.000 0.500 Pb
0.000 0.500 0.000 Pb
0.500 0.000 0.000 Pb
0.500 0.500 0.500 Pb


(18)
GGA-PBE Cd2H2Pb, optimized geometry; electronic total energy = -20.8 eV/cell
1.0
7.759 0.000 0.000
0.000 7.759 0.000
0.000 0.000 3.245
Cd H Pb
4 4 2
direct
0.124 0.376 0.000 Cd
0.376 0.876 0.000 Cd
0.624 0.124 0.000 Cd
0.876 0.624 0.000 Cd
0.231 0.269 0.500 H
0.269 0.769 0.500 H
0.731 0.231 0.500 H
0.769 0.731 0.500 H
0.000 0.000 0.500 Pb
0.500 0.500 0.500 Pb


(19)
GGA-PBE Cd4H2Pb, optimized geometry; electronic total energy = -12.3 eV/cell
1.0
5.076 0.000 0.000
0.000 3.163 0.000
-2.528 0.000 8.523
Cd H Pb
4 2 1
direct
0.109 0.000 0.218 Cd
0.314 0.500 0.627 Cd
0.686 0.500 0.373 Cd
0.891 0.000 0.782 Cd
0.237 0.000 0.473 H
0.763 0.000 0.527 H
0.500 0.500 0.000 Pb


(20)
GGA-PBE CdH2Pb, optimized geometry; electronic total energy = -38.7 eV/cell
1.0
4.979 0.000 0.000
0.000 4.979 0.000
0.000 0.000 10.964
Cd H Pb
4 8 4
direct
0.000 0.000 0.000 Cd
0.000 0.500 0.250 Cd
0.500 0.000 0.750 Cd
0.500 0.500 0.500 Cd
0.127 0.250 0.125 H
0.250 0.627 0.375 H
0.250 0.873 0.875 H
0.373 0.250 0.625 H
0.627 0.750 0.625 H
0.750 0.127 0.875 H
0.750 0.373 0.375 H
0.873 0.750 0.125 H
0.000 0.000 0.500 Pb
0.000 0.500 0.750 Pb
0.500 0.000 0.250 Pb
0.500 0.500 0.000 Pb